# Ni2AgI6

Crystalline Ni2AgI6 at its relaxed geometry (PBE, Alexandria).

POSCAR file:
```
Ni2AgI6
1.0
6.9732 0.0000 0.0000
-3.4866 6.0390 0.0000
0.0000 0.0000 7.4857
Ni Ag I
2 1 6
direct
0.3333 0.6667 0.0000
0.6667 0.3333 0.0000
0.0000 0.0000 0.0000
0.0000 0.3666 0.2088
0.0000 0.6334 0.7912
0.3666 0.0000 0.2088
0.3666 0.3666 0.7912
0.6334 0.0000 0.7912
0.6334 0.6334 0.2088
```

* crystal system: trigonal
* SG: P-31m
* formation energy (no corrections): -0.09 eV/atom
* Fermi-level density of states: 7.71 states/eV/f.u.
* VASP energy: -2.722 eV/atom

# Ni3Ag5I12

Crystalline Ni3Ag5I12 at its relaxed geometry (PBE, Alexandria).

POSCAR file:
```
Ni3Ag5I12
1.0
-8.8148 8.8148 8.8148
8.8148 -8.8148 8.8148
8.8148 8.8148 -8.8148
Ni Ag I
12 20 48
direct
0.1250 0.2500 0.3750
0.1250 0.3750 0.7500
0.2500 0.3750 0.1250
0.2500 0.8750 0.6250
0.3750 0.1250 0.2500
0.3750 0.7500 0.1250
0.6250 0.2500 0.8750
0.6250 0.8750 0.7500
0.7500 0.1250 0.3750
0.7500 0.6250 0.8750
0.8750 0.6250 0.2500
0.8750 0.7500 0.6250
0.0000 0.0000 0.0000
0.0000 0.0000 0.5000
0.0000 0.5000 0.0000
0.0000 0.5000 0.5000
0.1250 0.7500 0.8750
0.1250 0.8750 0.2500
0.2500 0.1250 0.8750
0.2500 0.6250 0.3750
0.3750 0.2500 0.6250
0.3750 0.6250 0.7500
0.5000 0.0000 0.0000
0.5000 0.0000 0.5000
0.5000 0.5000 0.0000
0.5000 0.5000 0.5000
0.6250 0.3750 0.2500
0.6250 0.7500 0.3750
0.7500 0.3750 0.6250
0.7500 0.8750 0.1250
0.8750 0.1250 0.7500
0.8750 0.2500 0.1250
0.0231 0.6396 0.2073
0.0231 0.8836 0.8158
0.0677 0.1842 0.7073
0.0677 0.3836 0.3604
0.1164 0.1842 0.9769
0.1164 0.4323 0.1396
0.1396 0.1164 0.4323
0.1396 0.5231 0.7073
0.1842 0.7073 0.0677
0.1842 0.9769 0.1164
0.2073 0.0231 0.6396
0.2073 0.6842 0.5677
0.2927 0.8604 0.4769
0.2927 0.9323 0.8158
0.3158 0.3836 0.5231
0.3158 0.4323 0.7927
0.3604 0.0677 0.3836
0.3604 0.7927 0.9769
0.3836 0.3604 0.0677
0.3836 0.5231 0.3158
0.4323 0.1396 0.1164
0.4323 0.7927 0.3158
0.4769 0.2927 0.8604
0.4769 0.6842 0.6164
0.5231 0.3158 0.3836
0.5231 0.7073 0.1396
0.5677 0.2073 0.6842
0.5677 0.8604 0.8836
0.6164 0.4769 0.6842
0.6164 0.6396 0.9323
0.6396 0.2073 0.0231
0.6396 0.9323 0.6164
0.6842 0.5677 0.2073
0.6842 0.6164 0.4769
0.7073 0.0677 0.1842
0.7073 0.1396 0.5231
0.7927 0.3158 0.4323
0.7927 0.9769 0.3604
0.8158 0.0231 0.8836
0.8158 0.2927 0.9323
0.8604 0.4769 0.2927
0.8604 0.8836 0.5677
0.8836 0.5677 0.8604
0.8836 0.8158 0.0231
0.9323 0.6164 0.6396
0.9323 0.8158 0.2927
0.9769 0.1164 0.1842
0.9769 0.3604 0.7927
```

* crystal system: cubic
* SG: Ia-3d
* formation energy (no corrections): -0.02 eV/atom
* Fermi-level density of states: 17.96 states/eV/f.u.
* VASP energy: -2.528 eV/atom

# Ni2AgI

Crystalline Ni2AgI at its relaxed geometry (PBE, Alexandria).

POSCAR file:
```
Ni2AgI
1.0
4.2887 0.0000 0.0000
0.0000 4.2887 0.0000
0.0000 0.0000 16.6225
Ni Ag I
8 4 4
direct
0.1799 0.2500 0.1250
0.2500 0.6799 0.3750
0.2500 0.8201 0.8750
0.3201 0.2500 0.6250
0.6799 0.7500 0.6250
0.7500 0.1799 0.8750
0.7500 0.3201 0.3750
0.8201 0.7500 0.1250
0.0000 0.0000 0.5000
0.0000 0.5000 0.7500
0.5000 0.0000 0.2500
0.5000 0.5000 0.0000
0.0000 0.0000 0.0000
0.0000 0.5000 0.2500
0.5000 0.0000 0.7500
0.5000 0.5000 0.5000
```

* crystal system: tetragonal
* SG: I-42d
* formation energy (no corrections): 0.65 eV/atom
* Fermi-level density of states: 0.95 states/eV/f.u.
* VASP energy: -3.345 eV/atom
* ΔE to the lowest computed polymorph: 0.0581 eV per atom

# Ni2AgI

Crystalline Ni2AgI at its relaxed geometry (PBE, Alexandria).

POSCAR file:
```
Ni2AgI
1.0
6.3825 0.0000 0.0000
0.0000 6.3825 0.0000
0.0000 0.0000 6.3825
Ni Ag I
8 4 4
direct
0.2500 0.2500 0.2500
0.2500 0.2500 0.7500
0.2500 0.7500 0.2500
0.2500 0.7500 0.7500
0.7500 0.2500 0.2500
0.7500 0.2500 0.7500
0.7500 0.7500 0.2500
0.7500 0.7500 0.7500
0.0000 0.0000 0.0000
0.0000 0.5000 0.5000
0.5000 0.0000 0.5000
0.5000 0.5000 0.0000
0.0000 0.0000 0.5000
0.0000 0.5000 0.0000
0.5000 0.0000 0.0000
0.5000 0.5000 0.5000
```

* crystal system: cubic
* SG: Fm-3m
* formation energy (no corrections): 0.59 eV/atom
* Fermi-level density of states: 4.52 states/eV/f.u.
* VASP energy: -3.403 eV/atom
* ΔE to the lowest computed polymorph: 0.0000 eV per atom

# NiAg2I4

Crystalline NiAg2I4 at its relaxed geometry (PBE, Alexandria).

POSCAR file:
```
NiAg2I4
1.0
2.1348 1.2325 15.3193
-2.1348 1.2325 15.3193
0.0000 -2.4650 15.3193
Ni Ag I
1 2 4
direct
0.0000 0.0000 0.0000
0.1833 0.1833 0.1833
0.8167 0.8167 0.8167
0.1185 0.1185 0.1185
0.3641 0.3641 0.3641
0.6359 0.6359 0.6359
0.8815 0.8815 0.8815
```

* crystal system: trigonal
* SG: R-3m
* formation energy (no corrections): -0.11 eV/atom
* VASP energy: -2.639 eV/atom